No. 1
Density functional theory data (PBE) for crystalline Tm2PdCl at its relaxed geometry. Values from VASP.

Quantum ESPRESSO input file:
```
&SYSTEM
  ibrav = 0, nat = 4, ntyp = 3
/
ATOMIC_SPECIES
Tm 168.93 Tm.upf
Pd 106.42 Pd.upf
Cl 35.45 Cl.upf
ATOMIC_POSITIONS crystal
Tm 0.890 0.890 0.329
Pd 0.500 0.500 0.500
Tm 0.110 0.110 0.671
Cl 0.000 0.000 0.000
CELL_PARAMETERS angstrom
-2.875 -3.049 0.143
-0.273 -2.773 -3.134
4.172 -6.690 2.750
```

Calculated values
As for the volume: 122 Å³/cell. The total magnetization is 0.0 μB/cell. Its crystal system is trigonal. Its formation energy (no corrections) is -1.10 eV per atom.


No. 2
Density functional theory data (PBE) for crystalline UPdCl6 at its relaxed geometry. Values from VASP.

Quantum ESPRESSO input file:
```
&SYSTEM
  ibrav = 0, nat = 8, ntyp = 3
/
ATOMIC_SPECIES
U 238.03 U.upf
Cl 35.45 Cl.upf
Pd 106.42 Pd.upf
ATOMIC_POSITIONS crystal
U 0.500 0.500 0.000
Cl 0.235 0.612 0.307
Cl 0.765 0.388 0.693
Pd 0.000 0.000 0.000
Cl 0.694 0.695 0.000
Cl 0.765 0.081 0.307
Cl 0.235 0.919 0.693
Cl 0.306 0.305 0.000
CELL_PARAMETERS angstrom
0.648 -4.819 5.462
6.171 -3.645 1.369
4.841 2.504 4.293
```

Calculated values
As for the volume: 264 Å³/cell. The total magnetization is 1.3 μB/cell. Its crystal system is monoclinic. Its formation energy (no corrections) is -1.27 eV per atom.


No. 3
Density functional theory data (PBE) for crystalline VPd2Cl at its relaxed geometry. Values from VASP.

Quantum ESPRESSO input file:
```
&SYSTEM
  ibrav = 0, nat = 8, ntyp = 3
/
ATOMIC_SPECIES
V 50.94 V.upf
Cl 35.45 Cl.upf
Pd 106.42 Pd.upf
ATOMIC_POSITIONS crystal
V 0.750 0.250 0.500
Cl 0.250 0.750 0.500
Pd 0.103 0.625 0.250
Pd 0.875 0.897 0.750
Cl 0.500 0.500 0.000
Pd 0.647 0.125 0.250
Pd 0.375 0.353 0.750
V 0.000 0.000 0.000
CELL_PARAMETERS angstrom
-4.032 -4.193 -2.583
-1.987 -1.669 5.812
-5.837 -0.115 1.457
```

Calculated values
As for the volume: 162 Å³/cell. The total magnetization is 0.0 μB/cell. Its crystal system is tetragonal. Its formation energy (no corrections) is 0.43 eV per atom.


No. 4
Density functional theory data (PBE) for crystalline VPd2Cl at its relaxed geometry. Values from VASP.

Quantum ESPRESSO input file:
```
&SYSTEM
  ibrav = 0, nat = 4, ntyp = 3
/
ATOMIC_SPECIES
Pd 106.42 Pd.upf
Cl 35.45 Cl.upf
V 50.94 V.upf
ATOMIC_POSITIONS crystal
Pd 0.250 0.250 0.250
Cl 0.000 0.000 0.000
Pd 0.750 0.750 0.750
V 0.500 0.500 0.500
CELL_PARAMETERS angstrom
-4.101 -1.906 -0.082
-3.289 1.597 2.662
-3.494 2.229 -1.812
```

Calculated values
As for the volume: 65 Å³/cell. The total magnetization is 2.7 μB/cell. Its crystal system is cubic. Its formation energy (no corrections) is 0.33 eV per atom.